Version i
A relaxed Ac2Pr3Ho4 crystal, computed with PBE.

```
data_Ac2Pr3Ho4
_cell_length_a 5.2495
_cell_length_b 9.7593
_cell_length_c 8.1968
_cell_angle_alpha 125.96
_cell_angle_beta 90.00
_cell_angle_gamma 105.60
_space_group_name_H-M_alt 'P 1'
_space_group_IT_number 1
loop_
_space_group_symop_operation_xyz
'x,y,z'
loop_
_atom_site_label
_atom_site_type_symbol
_atom_site_fract_x
_atom_site_fract_y
_atom_site_fract_z
Ac1 Ac 0.3363 0.6727 0.6742
Ac2 Ac 0.6637 0.3273 0.3258
Pr1 Pr 0.0000 0.0000 0.0000
Pr2 Pr 0.1102 0.2205 0.5620
Pr3 Pr 0.8898 0.7795 0.4380
Ho1 Ho 0.4416 0.8831 0.2261
Ho2 Ho 0.2224 0.4448 0.1016
Ho3 Ho 0.7776 0.5552 0.8984
Ho4 Ho 0.5584 0.1169 0.7739
```

Computed properties:
Space group: C2/m

=====

Version ii
A relaxed Ac2Pr3Ho4 crystal, computed with PBE.

```
data_Ac2Pr3Ho4
_cell_length_a 3.7109
_cell_length_b 3.7109
_cell_length_c 27.2966
_cell_angle_alpha 90.00
_cell_angle_beta 90.00
_cell_angle_gamma 120.00
_space_group_name_H-M_alt 'P 1'
_space_group_IT_number 1
loop_
_space_group_symop_operation_xyz
'x,y,z'
loop_
_atom_site_label
_atom_site_type_symbol
_atom_site_fract_x
_atom_site_fract_y
_atom_site_fract_z
Pr1 Pr 0.0000 0.0000 0.9831
Pr2 Pr 0.6667 0.3333 0.6457
Pr3 Pr 0.0000 0.0000 0.3310
Ho1 Ho 0.0000 0.0000 0.5390
Ho2 Ho 0.0000 0.0000 0.7520
Ho3 Ho 0.6667 0.3333 0.2270
Ho4 Ho 0.6667 0.3333 0.4391
Ac1 Ac 0.6667 0.3333 0.0976
Ac2 Ac 0.6667 0.3333 0.8627
```

Computed properties:
Space group: P3m1

=====

version i has the most favorable energy; the next structure is 48 meV/atom above.

=====

Version i
A relaxed AcPrHo3 crystal, computed with PBE.

```
data_AcPrHo3
_cell_length_a 6.4282
_cell_length_b 9.4792
_cell_length_c 12.2555
_cell_angle_alpha 110.80
_cell_angle_beta 90.00
_cell_angle_gamma 90.00
_space_group_name_H-M_alt 'P 1'
_space_group_IT_number 1
loop_
_space_group_symop_operation_xyz
'x,y,z'
loop_
_atom_site_label
_atom_site_type_symbol
_atom_site_fract_x
_atom_site_fract_y
_atom_site_fract_z
Ho1 Ho 0.8278 0.8532 0.7995
Ho2 Ho 0.8379 0.4521 0.5982
Ho3 Ho 0.3347 0.8463 0.2953
Ho4 Ho 0.6722 0.3532 0.2995
Ho5 Ho 0.8347 0.6537 0.2047
Ho6 Ho 0.6653 0.1537 0.7047
Ho7 Ho 0.1621 0.5479 0.4018
Ho8 Ho 0.1722 0.1468 0.2005
Ho9 Ho 0.3278 0.6468 0.7005
Ho10 Ho 0.6621 0.9521 0.0982
Ho11 Ho 0.3379 0.0479 0.9018
Ho12 Ho 0.1653 0.3463 0.7953
Ac1 Ac 0.6737 0.5520 0.8978
Ac2 Ac 0.3263 0.4480 0.1022
Ac3 Ac 0.1737 0.9480 0.6022
Ac4 Ac 0.8263 0.0520 0.3978
Pr1 Pr 0.1657 0.7598 0.9986
Pr2 Pr 0.6657 0.7402 0.5014
Pr3 Pr 0.3343 0.2598 0.4986
Pr4 Pr 0.8343 0.2402 0.0014
```

Computed properties:
Space group: P2_1/c

=====

Version ii
A relaxed AcPrHo3 crystal, computed with PBE.

```
data_AcPrHo3
_cell_length_a 6.7227
_cell_length_b 11.5021
_cell_length_c 11.5021
_cell_angle_alpha 51.85
_cell_angle_beta 86.71
_cell_angle_gamma 86.71
_space_group_name_H-M_alt 'P 1'
_space_group_IT_number 1
loop_
_space_group_symop_operation_xyz
'x,y,z'
loop_
_atom_site_label
_atom_site_type_symbol
_atom_site_fract_x
_atom_site_fract_y
_atom_site_fract_z
Ho1 Ho 0.3937 0.4780 0.3712
Ho2 Ho 0.4239 0.9102 0.4165
Ho3 Ho 0.5761 0.0898 0.5835
Ho4 Ho 0.8937 0.3712 0.4780
Ho5 Ho 0.9041 0.0461 0.2359
Ho6 Ho 0.5959 0.7641 0.9539
Ho7 Ho 0.1063 0.6288 0.5220
Ho8 Ho 0.9239 0.4165 0.9102
Ho9 Ho 0.0959 0.9539 0.7641
Ho10 Ho 0.4041 0.2359 0.0461
Ho11 Ho 0.6063 0.5220 0.6288
Ho12 Ho 0.0761 0.5835 0.0898
Ac1 Ac 0.7500 0.7478 0.2522
Ac2 Ac 0.2500 0.8894 0.1106
Ac3 Ac 0.7500 0.1106 0.8894
Ac4 Ac 0.2500 0.2522 0.7478
Pr1 Pr 0.3480 0.6465 0.7965
Pr2 Pr 0.6520 0.3535 0.2035
Pr3 Pr 0.8480 0.7965 0.6465
Pr4 Pr 0.1520 0.2035 0.3535
```

Computed properties:
Space group: C2/c

=====

version i has the most favorable energy; the next structure is 41 meV/atom above.

=====

Version i
A relaxed AcPr7Ho4 crystal, computed with PBE.

```
data_AcPr7Ho4
_cell_length_a 6.2363
_cell_length_b 11.6412
_cell_length_c 6.9465
_cell_angle_alpha 82.98
_cell_angle_beta 63.33
_cell_angle_gamma 74.46
_space_group_name_H-M_alt 'P 1'
_space_group_IT_number 1
loop_
_space_group_symop_operation_xyz
'x,y,z'
loop_
_atom_site_label
_atom_site_type_symbol
_atom_site_fract_x
_atom_site_fract_y
_atom_site_fract_z
Ho1 Ho 0.3686 0.7752 0.4877
Ho2 Ho 0.7460 0.6814 0.8266
Ho3 Ho 0.6314 0.2248 0.5123
Ho4 Ho 0.2540 0.3186 0.1734
Pr1 Pr 0.9438 0.3374 0.7750
Pr2 Pr 0.6293 0.4959 0.2456
Pr3 Pr 0.3707 0.5041 0.7544
Pr4 Pr 0.5000 0.0000 0.0000
Pr5 Pr 0.0562 0.6626 0.2250
Pr6 Pr 0.7858 0.9164 0.5119
Pr7 Pr 0.2142 0.0836 0.4881
Ac1 Ac 0.0000 0.0000 0.0000
```

Computed properties:
Space group: C2/m

=====

Version ii
A relaxed AcPr7Ho4 crystal, computed with PBE.

```
data_AcPr7Ho4
_cell_length_a 7.4119
_cell_length_b 6.4159
_cell_length_c 11.7571
_cell_angle_alpha 79.53
_cell_angle_beta 50.88
_cell_angle_gamma 90.02
_space_group_name_H-M_alt 'P 1'
_space_group_IT_number 1
loop_
_space_group_symop_operation_xyz
'x,y,z'
loop_
_atom_site_label
_atom_site_type_symbol
_atom_site_fract_x
_atom_site_fract_y
_atom_site_fract_z
Pr1 Pr 0.7402 0.4995 0.0030
Pr2 Pr 0.2598 0.5005 0.9970
Pr3 Pr 0.5000 0.0000 0.0000
Pr4 Pr 0.6614 0.2259 0.3382
Pr5 Pr 0.3386 0.7741 0.6618
Pr6 Pr 0.9172 0.7169 0.3379
Pr7 Pr 0.0828 0.2831 0.6621
Ho1 Ho 0.4054 0.7216 0.3359
Ho2 Ho 0.8366 0.7834 0.6639
Ho3 Ho 0.5946 0.2784 0.6641
Ho4 Ho 0.1634 0.2166 0.3361
Ac1 Ac 0.0000 0.0000 0.0000
```

Computed properties:
Space group: P-1

=====

version ii has the most favorable energy; the next structure is 256 meV/atom above.

=====

Version i
A relaxed Ac2Pr7Ho2 crystal, computed with PBE.

```
data_Ac2Pr7Ho2
_cell_length_a 6.3922
_cell_length_b 8.3458
_cell_length_c 8.3458
_cell_angle_alpha 91.82
_cell_angle_beta 74.06
_cell_angle_gamma 74.06
_space_group_name_H-M_alt 'P 1'
_space_group_IT_number 1
loop_
_space_group_symop_operation_xyz
'x,y,z'
loop_
_atom_site_label
_atom_site_type_symbol
_atom_site_fract_x
_atom_site_fract_y
_atom_site_fract_z
Ac1 Ac 0.1871 0.5965 0.5965
Ac2 Ac 0.8129 0.4035 0.4035
Pr1 Pr 0.8159 0.9332 0.4195
Pr2 Pr 0.1841 0.0668 0.5805
Pr3 Pr 0.4311 0.2222 0.2222
Pr4 Pr 0.5689 0.7778 0.7778
Pr5 Pr 0.1841 0.5805 0.0668
Pr6 Pr 0.0000 0.0000 0.0000
Pr7 Pr 0.8159 0.4195 0.9332
Ho1 Ho 0.5000 0.2142 0.7858
Ho2 Ho 0.5000 0.7858 0.2142
```

Computed properties:
Space group: C2/m

=====

Version ii
A relaxed Ac2Pr7Ho2 crystal, computed with PBE.

```
data_Ac2Pr7Ho2
_cell_length_a 9.8233
_cell_length_b 8.4562
_cell_length_c 9.8233
_cell_angle_alpha 45.80
_cell_angle_beta 124.14
_cell_angle_gamma 134.20
_space_group_name_H-M_alt 'P 1'
_space_group_IT_number 1
loop_
_space_group_symop_operation_xyz
'x,y,z'
loop_
_atom_site_label
_atom_site_type_symbol
_atom_site_fract_x
_atom_site_fract_y
_atom_site_fract_z
Pr1 Pr 0.5427 0.2810 0.4573
Pr2 Pr 0.0000 0.0000 0.0000
Pr3 Pr 0.4701 0.7278 0.9163
Pr4 Pr 0.4573 0.7190 0.5427
Pr5 Pr 0.5299 0.2722 0.0837
Pr6 Pr 0.9163 0.2722 0.4701
Pr7 Pr 0.0837 0.7278 0.5299
Ho1 Ho 0.7868 0.5000 0.7868
Ho2 Ho 0.2132 0.5000 0.2132
Ac1 Ac 0.2528 0.0672 0.7472
Ac2 Ac 0.7472 0.9328 0.2528
```

Computed properties:
Space group: C2/m

=====

version i has the most favorable energy; the next structure is 66 meV/atom above.